Record 1
# Hf3In2H2 PBE relaxed
# space group = P2/m
# crystal system = monoclinic
# calculated total energy = -43.96 eV/cell
# spin magnetization = 0.000 μB/atom
data_Hf3In2H2
_chemical_formula_sum 'Hf3 In2 H2'
_space_group_name_H-M_alt 'P 1'
_space_group_IT_number 1
_space_group_name_Hall 'P 1'
_cell_length_a 4.5739
_cell_length_b 3.2911
_cell_length_c 7.8982
_cell_angle_alpha 90.00
_cell_angle_beta 105.58
_cell_angle_gamma 90.00
loop_
_atom_site_label
_atom_site_type_symbol
_atom_site_fract_x
_atom_site_fract_y
_atom_site_fract_z
_atom_site_occupancy
Hf1 Hf 0.0000 0.0000 0.0000 1
Hf2 Hf 0.3750 0.5000 0.7684 1
Hf3 Hf 0.6250 0.5000 0.2316 1
In1 In 0.1975 0.0000 0.3874 1
In2 In 0.8025 0.0000 0.6126 1
H1 H 0.2654 0.5000 0.0053 1
H2 H 0.7346 0.5000 0.9947 1

---

Record 2
# Rb2Ce2CrSe6 PBE relaxed
# space group = C2/m
# crystal system = monoclinic
# spin magnetization = 0.365 μB/atom
# E_form (uncorrected) = -1340 meV/atom
data_Rb2Ce2CrSe6
_chemical_formula_sum 'Rb2 Ce2 Cr1 Se6'
_space_group_name_H-M_alt 'P 1'
_space_group_IT_number 1
_space_group_name_Hall 'P 1'
_cell_length_a 7.0936
_cell_length_b 7.0936
_cell_length_c 8.5256
_cell_angle_alpha 98.47
_cell_angle_beta 98.47
_cell_angle_gamma 119.15
loop_
_atom_site_label
_atom_site_type_symbol
_atom_site_fract_x
_atom_site_fract_y
_atom_site_fract_z
_atom_site_occupancy
Rb1 Rb 0.1727 0.8273 0.0000 1
Rb2 Rb 0.8273 0.1727 0.0000 1
Ce1 Ce 0.3329 0.6671 0.5000 1
Ce2 Ce 0.6671 0.3329 0.5000 1
Cr1 Cr 0.0000 0.0000 0.5000 1
Se1 Se 0.0668 0.3692 0.6867 1
Se2 Se 0.2351 0.2351 0.3157 1
Se3 Se 0.3692 0.0668 0.6867 1
Se4 Se 0.6308 0.9332 0.3133 1
Se5 Se 0.7649 0.7649 0.6843 1
Se6 Se 0.9332 0.6308 0.3133 1

---

Record 3
# Ba2Se3 PBE relaxed
# space group = P-3m1
# crystal system = trigonal
# spin magnetization = 0.398 μB/atom
# E_form (uncorrected) = -1313 meV/atom
data_Ba2Se3
_chemical_formula_sum 'Ba2 Se3'
_space_group_name_H-M_alt 'P 1'
_space_group_IT_number 1
_space_group_name_Hall 'P 1'
_cell_length_a 5.6421
_cell_length_b 5.6421
_cell_length_c 6.6940
_cell_angle_alpha 90.00
_cell_angle_beta 90.00
_cell_angle_gamma 120.00
loop_
_atom_site_label
_atom_site_type_symbol
_atom_site_fract_x
_atom_site_fract_y
_atom_site_fract_z
_atom_site_occupancy
Ba1 Ba 0.3333 0.6667 0.2702 1
Ba2 Ba 0.6667 0.3333 0.7298 1
Se1 Se 0.0000 0.0000 0.5000 1
Se2 Se 0.3333 0.6667 0.7740 1
Se3 Se 0.6667 0.3333 0.2260 1

---

Record 4
# Ac3PrHg2 PBE relaxed
# space group = Ibam
# crystal system = orthorhombic
# DFT formation energy = -0.10 eV per atom
# offset from the most stable computed form = 0.200 eV per atom
# spin magnetization = 0.000 μB/atom
data_Ac3PrHg2
_chemical_formula_sum 'Ac6 Pr2 Hg4'
_space_group_name_H-M_alt 'P 1'
_space_group_IT_number 1
_space_group_name_Hall 'P 1'
_cell_length_a 9.5355
_cell_length_b 9.5355
_cell_length_c 9.5355
_cell_angle_alpha 130.75
_cell_angle_beta 72.68
_cell_angle_gamma 130.16
loop_
_atom_site_label
_atom_site_type_symbol
_atom_site_fract_x
_atom_site_fract_y
_atom_site_fract_z
_atom_site_occupancy
Ac1 Ac 0.0230 0.7500 0.2730 1
Ac2 Ac 0.2500 0.2500 0.0000 1
Ac3 Ac 0.4770 0.7500 0.7270 1
Ac4 Ac 0.5230 0.2500 0.2730 1
Ac5 Ac 0.7500 0.7500 0.0000 1
Ac6 Ac 0.9770 0.2500 0.7270 1
Pr1 Pr 0.0000 0.5000 0.5000 1
Pr2 Pr 0.5000 0.0000 0.5000 1
Hg1 Hg 0.1369 0.2078 0.3447 1
Hg2 Hg 0.3631 0.7078 0.0709 1
Hg3 Hg 0.6369 0.2922 0.9291 1
Hg4 Hg 0.8631 0.7922 0.6553 1

---

Record 5
# Sr2IrCSe PBE relaxed
# space group = P4/mmm
# crystal system = tetragonal
# spin magnetization = 0.000 μB/atom
# E_form (uncorrected) = -681 meV/atom
data_Sr2IrCSe
_chemical_formula_sum 'Sr2 Ir1 C1 Se1'
_space_group_name_H-M_alt 'P 1'
_space_group_IT_number 1
_space_group_name_Hall 'P 1'
_cell_length_a 5.5451
_cell_length_b 5.5451
_cell_length_c 3.8557
_cell_angle_alpha 90.00
_cell_angle_beta 90.00
_cell_angle_gamma 90.00
loop_
_atom_site_label
_atom_site_type_symbol
_atom_site_fract_x
_atom_site_fract_y
_atom_site_fract_z
_atom_site_occupancy
Sr1 Sr 0.0000 0.5000 0.0000 1
Sr2 Sr 0.5000 0.0000 0.0000 1
Ir1 Ir 0.0000 0.0000 0.5000 1
C1 C 0.0000 0.0000 0.0000 1
Se1 Se 0.5000 0.5000 0.5000 1